# 1
{"formula": "YHfMo2", "functional": "PBE", "state": "relaxed", "vol_a3_per_atom": 19.72, "de_polymorph_ev_per_atom": 0.000, "formation_enthalpy_0k_ev_per_atom": 0.364, "space_group": "Fm-3m", "dos_ef_per_ev_fu": 9.3, "lattice_angstrom": [[0.000, 3.404, 3.404], [3.404, 0.000, 3.404], [3.404, 3.404, 0.000]], "species": ["Mo", "Mo", "Hf", "Y"], "frac_coords": [[0.750, 0.750, 0.750], [0.250, 0.250, 0.250], [0.500, 0.500, 0.500], [0.000, 0.000, 0.000]]}

***

# 2
{"formula": "Pr4NdCd", "functional": "PBE", "state": "relaxed", "vol_a3_per_atom": 34.03, "de_polymorph_ev_per_atom": 0.088, "formation_enthalpy_0k_ev_per_atom": -0.011, "space_group": "C2/c", "dos_ef_per_ev_fu": 8.3, "lattice_angstrom": [[-6.223, -1.875, -0.568], [5.908, -7.124, -0.705], [-0.197, 3.492, 7.848]], "species": ["Pr", "Pr", "Pr", "Pr", "Pr", "Pr", "Pr", "Pr", "Cd", "Cd", "Nd", "Nd"], "frac_coords": [[0.759, 0.713, 0.620], [0.241, 0.287, 0.380], [0.041, 0.166, 0.763], [0.639, 0.093, 0.380], [0.222, 0.597, 0.763], [0.778, 0.403, 0.237], [0.959, 0.834, 0.237], [0.361, 0.907, 0.620], [0.749, 0.999, 0.998], [0.251, 0.001, 0.002], [0.337, 0.587, 0.174], [0.663, 0.413, 0.826]]}

***

# 3
{"formula": "Mg2ScAu3", "functional": "PBE", "state": "relaxed", "vol_a3_per_atom": 18.60, "de_polymorph_ev_per_atom": 0.000, "formation_enthalpy_0k_ev_per_atom": -0.695, "space_group": "P-3m1", "dos_ef_per_ev_fu": 2.7, "lattice_angstrom": [[-1.176, -4.570, -0.196], [4.377, 1.260, 1.247], [-3.261, 0.363, 11.082]], "species": ["Au", "Au", "Au", "Au", "Au", "Au", "Mg", "Mg", "Mg", "Mg", "Sc", "Sc"], "frac_coords": [[0.000, 0.000, 0.750], [0.333, 0.667, 0.914], [0.000, 0.000, 0.250], [0.667, 0.333, 0.086], [0.333, 0.667, 0.413], [0.667, 0.333, 0.587], [0.667, 0.333, 0.837], [0.000, 0.000, 0.000], [0.333, 0.667, 0.163], [0.000, 0.000, 0.500], [0.667, 0.333, 0.336], [0.333, 0.667, 0.664]]}

***

# 4
{"formula": "NpCdPd4", "functional": "PBE", "state": "relaxed", "vol_a3_per_atom": 18.36, "formation_enthalpy_0k_ev_per_atom": -0.328, "space_group": "F-43m", "dos_ef_per_ev_fu": 14.0, "lattice_angstrom": [[5.380, 0.000, 0.000], [2.690, 4.659, 0.000], [2.690, 1.553, 4.393]], "species": ["Pd", "Pd", "Pd", "Pd", "Cd", "Np"], "frac_coords": [[0.625, 0.124, 0.625], [0.625, 0.625, 0.124], [0.124, 0.625, 0.625], [0.625, 0.625, 0.625], [0.000, 0.000, 0.000], [0.250, 0.250, 0.250]]}

***

# 5
{"formula": "Li2AcYSb2", "functional": "PBE", "state": "relaxed", "vol_a3_per_atom": 25.40, "formation_energy_uncorrected_mev_per_atom": -859, "space_group": "P-3m1", "dos_ef_per_ev_fu": 2.1, "lattice_angstrom": [[4.748, 0.000, 0.000], [-2.374, 4.112, 0.000], [0.000, 0.000, 7.807]], "species": ["Sb", "Sb", "Li", "Li", "Ac", "Y"], "frac_coords": [[0.333, 0.667, 0.275], [0.667, 0.333, 0.725], [0.667, 0.333, 0.294], [0.333, 0.667, 0.706], [0.000, 0.000, 0.000], [0.000, 0.000, 0.500]]}

***

# 6
{"formula": "Na2SnGeP", "functional": "PBE", "state": "relaxed", "vol_a3_per_atom": 26.99, "formation_enthalpy_0k_ev_per_atom": 0.212, "space_group": "P4/mmm", "dos_ef_per_ev_fu": 3.6, "lattice_angstrom": [[5.393, 0.000, 0.000], [0.000, 4.641, 0.000], [0.000, 0.000, 5.393]], "species": ["Na", "Na", "P", "Sn", "Ge"], "frac_coords": [[0.000, 0.000, 0.500], [0.500, 0.000, 0.000], [0.000, 0.000, 0.000], [0.500, 0.500, 0.500], [0.000, 0.500, 0.000]]}

***

# 7
{"formula": "ReTcHg2", "functional": "PBE", "state": "relaxed", "vol_a3_per_atom": 18.64, "de_polymorph_ev_per_atom": 0.428, "formation_enthalpy_0k_ev_per_atom": 0.745, "space_group": "Imm2", "dos_ef_per_ev_fu": 3.2, "lattice_angstrom": [[6.044, 0.065, 0.071], [3.325, 5.047, -0.071], [-4.037, -3.743, 2.496]], "species": ["Tc", "Re", "Hg", "Hg"], "frac_coords": [[0.279, 0.779, 0.500], [0.471, 0.471, 0.000], [0.731, 0.231, 0.500], [0.019, 0.019, 0.000]]}

***

# 8
{"formula": "LaScZn", "functional": "PBE", "state": "relaxed", "vol_a3_per_atom": 28.69, "de_polymorph_ev_per_atom": 0.777, "formation_enthalpy_0k_ev_per_atom": 0.573, "space_group": "F-43m", "dos_ef_per_ev_fu": 0.6, "lattice_angstrom": [[-0.867, -4.879, 0.012], [-0.331, -2.447, 4.297], [-4.382, -1.734, 1.533]], "species": ["La", "Sc", "Zn"], "frac_coords": [[0.500, 0.500, 0.500], [0.250, 0.250, 0.250], [0.750, 0.750, 0.750]]}